# 1
This record from the Alexandria database describes crystalline Ba2AsPd at its relaxed geometry. The functional is GGA-PBE.

Cell: 4.149 5.487 5.487 Å, 90.00 90.00 90.00°
Element x y z (fractional)
As 0.500 0.000 0.000
Ba 0.000 0.500 0.000
Ba 0.000 0.000 0.500
Pd 0.500 0.500 0.500

Computed properties:
Mass density in g cm⁻³: 6.062
Uncorrected energy in Ry per atom: -0.2998
Fermi-level density of states in states/eV/cell: 2.83
DFT formation energy in kJ per mole of atoms: -63.42
Total magnetic moment in μB/atom: 0.00

***

# 2
This record from the Alexandria database describes crystalline BaAs2Pd at its relaxed geometry. The functional is GGA-PBE.

Cell: 6.370 6.132 6.965 Å, 101.18 102.72 122.59°
Element x y z (fractional)
As 0.755 0.624 0.269
As 0.514 0.145 0.269
As 0.245 0.376 0.731
As 0.486 0.855 0.731
Pd 0.746 0.996 0.493
Pd 0.254 0.004 0.507
Ba 0.893 0.643 0.787
Ba 0.107 0.357 0.213

Computed properties:
Mass density in g cm⁻³: 6.320
Uncorrected energy in Ry per atom: -0.3553
Fermi-level density of states in states/eV/cell: 3.89
DFT formation energy in kJ per mole of atoms: -70.48
Total magnetic moment in μB/atom: 0.00

***

# 3
This record from the Alexandria database describes crystalline Ba8AsPd2 at its relaxed geometry. The functional is GGA-PBE.

Cell: 8.160 8.084 9.094 Å, 116.75 109.81 74.90°
Element x y z (fractional)
Ba 0.749 0.400 0.193
Ba 0.755 0.146 0.682
Ba 0.240 0.340 0.313
Ba 0.245 0.854 0.318
Ba 0.757 0.911 0.191
Ba 0.760 0.660 0.687
Ba 0.243 0.089 0.809
Ba 0.251 0.600 0.807
As 0.000 0.000 0.000
Pd 0.002 0.259 0.520
Pd 0.998 0.741 0.480

Computed properties:
Mass density in g cm⁻³: 4.606
Uncorrected energy in Ry per atom: -0.2328
Fermi-level density of states in states/eV/cell: 9.00
DFT formation energy in kJ per mole of atoms: -38.86
Total magnetic moment in μB/atom: 0.00

***

# 4
This record from the Alexandria database describes crystalline BaAs2Pd at its relaxed geometry. The functional is GGA-PBE.

Cell: 5.091 5.091 9.347 Å, 74.20 74.20 90.00°
Element x y z (fractional)
Ba 0.000 0.000 0.000
Ba 0.750 0.250 0.500
As 0.295 0.625 0.250
As 0.875 0.705 0.750
As 0.455 0.125 0.250
As 0.375 0.545 0.750
Pd 0.500 0.500 0.000
Pd 0.250 0.750 0.500

Computed properties:
Mass density in g cm⁻³: 5.846
Uncorrected energy in Ry per atom: -0.3468
Fermi-level density of states in states/eV/cell: 6.23
DFT formation energy in kJ per mole of atoms: -59.27
Total magnetic moment in μB/atom: 0.00